The following is a DFT calculation (PBE) of crystalline RbCrS2 at its relaxed geometry.

Cell lengths 4.117, 4.117, 5.719 Å; angles 90.00, 90.00, 90.00 degrees
Fractional positions:
Rb 0.000 0.000 0.000
Cr 0.500 0.500 0.500
S 0.000 0.000 0.500
S 0.500 0.500 0.000

Calculated volume (Å³/f.u.): 97
Symmetry: No. 123
DOS(E_F) (states/eV per atom): 0.33
Crystal system: tetragonal
E_tot (eV per atom): -4.65

The following is a DFT calculation (PBE) of crystalline TbY6Tm at its relaxed geometry.

Cell lengths 6.165, 6.165, 10.055 Å; angles 114.08, 114.08, 48.21 degrees
Fractional positions:
Tb 0.000 0.000 0.000
Y 0.250 0.250 0.376
Y 0.250 0.250 0.874
Y 0.500 0.500 0.251
Y 0.500 0.500 0.749
Y 0.750 0.750 0.126
Y 0.750 0.750 0.624
Tm 0.000 0.000 0.500

Calculated volume (Å³/f.u.): 255
Symmetry: No. 12
DOS(E_F) (states/eV per atom): 1.45
Crystal system: monoclinic
E_tot (eV per atom): -5.96
Polymorph energy (0 for the lowest one) (kJ per mole of atoms): 0.0
ΔH_f (0 K) (eV per atom): 0.02